## BiMoO2 (PBE with a Hubbard U)

Data for a relaxed structure of BiMoO2.

Output
- DOS(E_F) (states/eV per cell) = 2.3
- final energy (eV per atom) = -5.648
- calculated volume (Å³/atom) = 17.525

a b c (Å): 3.2734 3.2734 22.6621
angles (deg): 90.00 90.00 120.00
Closest atoms and distances in Å follow each position.
Space group R-3m (No. 166, hexagonal axes)
Unique sites:
1 Bi 0.0000 0.0000 0.0000 [3 per cell]  6 O 2.68
2 Mo 0.0000 0.0000 0.5000 [3 per cell]  2 O 1.87
3 O 0.0000 0.0000 0.4174 [6 per cell]  1 Mo 1.87